Below is a relaxed KTl2MoI8 crystal, with properties calculated at the PBE level.

## Properties
D(E_F) in states/eV per cell: 7.443
Volume in A^3/atom: 47.3
Total energy in Ry per atom: -0.214
Space-group type: P-1, No. 2
ΔE_f (raw) in meV/atom: -484

```
KTl2MoI8
1.0
7.595 -1.391 -1.283
-1.584 9.179 2.263
-1.990 3.047 9.347
K Tl Mo I
1 2 1 8
Direct
0.000 0.000 0.500
0.512 0.299 0.762
0.488 0.701 0.238
0.000 0.000 0.000
0.958 0.757 0.314
0.617 0.918 0.875
0.944 0.248 0.034
0.042 0.243 0.686
0.383 0.082 0.125
0.056 0.752 0.966
0.567 0.705 0.584
0.433 0.295 0.416
```

=====

Below is a relaxed KVMoI2 crystal, with properties calculated at the PBE level.

## Properties
D(E_F) in states/eV per cell: 16.042
Volume in A^3/atom: 45.7
Total energy in Ry per atom: -0.239
Space-group type: P4/mmm, No. 123
ΔE_f (raw) in meV/atom: 1576

```
KVMoI2
1.0
-1.409 3.087 5.304
-5.208 -2.471 0.055
2.303 -4.778 3.393
I Mo K V
2 1 1 1
Direct
0.000 0.000 0.500
0.500 0.000 0.000
0.500 0.500 0.500
0.000 0.000 0.000
0.000 0.500 0.000
```

=====

Below is a relaxed KIN crystal, with properties calculated at the PBE level.

## Properties
D(E_F) in states/eV per cell: 5.052
Volume in A^3/atom: 37.2
Total energy in Ry per atom: -0.239
Space-group type: Pnma, No. 62
ΔE_f (raw) in meV/atom: 404
Offset from the most stable computed form in meV/atom: 1369

```
KIN
1.0
5.523 0.000 0.000
0.000 10.509 0.000
0.000 0.000 7.701
K I N
4 4 4
Direct
0.750 0.908 0.612
0.250 0.408 0.888
0.250 0.092 0.388
0.750 0.592 0.112
0.750 0.252 0.675
0.250 0.752 0.825
0.250 0.748 0.325
0.750 0.248 0.175
0.750 0.143 0.428
0.250 0.643 0.072
0.250 0.857 0.572
0.750 0.357 0.928
```

=====

Below is a relaxed KI2N crystal, with properties calculated at the PBE level.

## Properties
D(E_F) in states/eV per cell: 5.660
Volume in A^3/atom: 35.8
Total energy in Ry per atom: -0.177
Space-group type: Fm-3m, No. 225
ΔE_f (raw) in meV/atom: 722
Offset from the most stable computed form in meV/atom: 582

```
KI2N
1.0
-2.059 3.058 4.572
-0.981 -2.689 5.129
3.478 1.099 4.604
I K N
2 1 1
Direct
0.250 0.250 0.250
0.750 0.750 0.750
0.500 0.500 0.500
0.000 0.000 0.000
```

=====

Below is a relaxed K3I2N2 crystal, with properties calculated at the PBE level.

## Properties
D(E_F) in states/eV per cell: 2.597
Volume in A^3/atom: 36.8
Total energy in Ry per atom: -0.302
Space-group type: Immm, No. 71
ΔE_f (raw) in meV/atom: -815

```
K3I2N2
1.0
5.408 0.000 -1.039
-0.190 4.631 -0.989
-0.788 -0.218 10.483
K I N
3 2 2
Direct
0.000 0.000 0.000
0.353 0.353 0.706
0.647 0.647 0.294
0.170 0.170 0.341
0.830 0.830 0.659
0.500 0.125 0.000
0.500 0.875 0.000
```

=====

Below is a relaxed K2I3N crystal, with properties calculated at the PBE level.

## Properties
Volume in A^3/atom: 41.7
Total energy in Ry per atom: -0.209
Space-group type: C2/m, No. 12
ΔE_f (raw) in meV/atom: -319

```
K2I3N
1.0
-3.688 2.586 4.920
-1.549 -8.271 -1.336
6.694 -2.530 6.348
K I N
4 6 2
Direct
0.488 0.976 0.748
0.512 0.024 0.252
0.180 0.359 0.791
0.820 0.641 0.209
0.654 0.308 0.971
0.876 0.753 0.681
0.333 0.667 0.481
0.667 0.333 0.519
0.124 0.247 0.319
0.346 0.692 0.029
0.006 0.012 0.257
0.994 0.988 0.743
```